w | TiBiTeN2 | PBE | relaxed

The structure belongs to space group P4/mmm (No. 123); the cell edges are 4.146, 4.146 and 5.553 Å and the angles 90.00°, 90.00° and 90.00°. The distinct sites, in fractional coordinates, are Ti at (0.000, 0.000, 0.000), Bi at (0.500, 0.500, 0.500), Te at (0.000, 0.000, 0.500) and N at (0.000, 0.500, 0.000).



x | TiBiTeN2 | PBE | relaxed

The structure belongs to space group P4/mmm (No. 123); the cell edges are 4.283, 4.283 and 6.206 Å and the angles 90.00°, 90.00° and 90.00°. The distinct sites, in fractional coordinates, are Ti at (0.000, 0.000, 0.000), Bi at (0.500, 0.500, 0.500), Te at (0.500, 0.500, 0.000) and N at (0.000, 0.500, 0.500).



Verdict on stability: x comes out at the bottom.



w | TlBiTeN2 | PBE | relaxed

The structure belongs to space group P4/mmm (No. 123); the cell edges are 4.539, 4.539 and 6.148 Å and the angles 90.00°, 90.00° and 90.00°. The distinct sites, in fractional coordinates, are Tl at (0.000, 0.000, 0.000), Bi at (0.500, 0.500, 0.500), Te at (0.000, 0.000, 0.500) and N at (0.000, 0.500, 0.000).



x | TlBiTeN2 | PBE | relaxed

The structure belongs to space group P4/mmm (No. 123); the cell edges are 4.536, 4.536 and 6.337 Å and the angles 90.00°, 90.00° and 90.00°. The distinct sites, in fractional coordinates, are Tl at (0.000, 0.000, 0.000), Bi at (0.500, 0.500, 0.500), Te at (0.500, 0.500, 0.000) and N at (0.000, 0.500, 0.500).



Verdict on stability: w comes out at the bottom.



w | VBiTeN2 | PBE | relaxed

The structure belongs to space group P4/mmm (No. 123); the cell edges are 4.071, 4.071 and 5.380 Å and the angles 90.00°, 90.00° and 90.00°. The distinct sites, in fractional coordinates, are V at (0.000, 0.000, 0.000), Bi at (0.500, 0.500, 0.500), Te at (0.000, 0.000, 0.500) and N at (0.000, 0.500, 0.000).



x | VBiTeN2 | PBE | relaxed

The structure belongs to space group P4/mmm (No. 123); the cell edges are 4.224, 4.224 and 6.652 Å and the angles 90.00°, 90.00° and 90.00°. The distinct sites, in fractional coordinates, are V at (0.000, 0.000, 0.000), Bi at (0.500, 0.500, 0.500), Te at (0.500, 0.500, 0.000) and N at (0.000, 0.500, 0.500).



Verdict on stability: x comes out at the bottom.



w | YBiTeN2 | PBE | relaxed

The structure belongs to space group P4/mmm (No. 123); the cell edges are 4.464, 4.464 and 6.115 Å and the angles 90.00°, 90.00° and 90.00°. The distinct sites, in fractional coordinates, are Y at (0.000, 0.000, 0.000), Bi at (0.500, 0.500, 0.500), Te at (0.000, 0.000, 0.500) and N at (0.000, 0.500, 0.000).



x | YBiTeN2 | PBE | relaxed

The structure belongs to space group P4/mmm (No. 123); the cell edges are 4.390, 4.390 and 5.941 Å and the angles 90.00°, 90.00° and 90.00°. The distinct sites, in fractional coordinates, are Y at (0.000, 0.000, 0.000), Bi at (0.500, 0.500, 0.500), Te at (0.500, 0.500, 0.000) and N at (0.000, 0.500, 0.500).



Verdict on stability: x comes out at the bottom.



w | ZnBiTe2N | PBE | relaxed

The structure belongs to space group P4/mmm (No. 123); the cell edges are 5.693, 5.693 and 3.787 Å and the angles 90.00°, 90.00° and 90.00°. The distinct sites, in fractional coordinates, are Zn at (0.000, 0.000, 0.000), Bi at (0.500, 0.500, 0.500), Te at (0.000, 0.500, 0.000) and N at (0.000, 0.000, 0.500).



x | ZnBiTe2N | PBE | relaxed

The structure belongs to space group P4/mmm (No. 123); the cell edges are 5.990, 5.990 and 4.373 Å and the angles 90.00°, 90.00° and 90.00°. The distinct sites, in fractional coordinates, are Zn at (0.000, 0.000, 0.000), Bi at (0.500, 0.500, 0.500), Te at (0.000, 0.500, 0.500) and N at (0.500, 0.500, 0.000).



Verdict on stability: x comes out at the bottom.



w | ZrBiTeN2 | PBE | relaxed

The structure belongs to space group P4/mmm (No. 123); the cell edges are 4.306, 4.306 and 5.928 Å and the angles 90.00°, 90.00° and 90.00°. The distinct sites, in fractional coordinates, are Zr at (0.000, 0.000, 0.000), Bi at (0.500, 0.500, 0.500), Te at (0.500, 0.500, 0.000) and N at (0.000, 0.500, 0.500).



x | ZrBiTeN2 | PBE | relaxed

The structure belongs to space group P4/mmm (No. 123); the cell edges are 4.319, 4.319 and 5.889 Å and the angles 90.00°, 90.00° and 90.00°. The distinct sites, in fractional coordinates, are Zr at (0.000, 0.000, 0.000), Bi at (0.500, 0.500, 0.500), Te at (0.000, 0.000, 0.500) and N at (0.000, 0.500, 0.000).



Verdict on stability: w comes out at the bottom.



w | Th2BiN | PBE | relaxed

The structure belongs to space group P4/mmm (No. 123); the cell edges are 3.357, 3.357 and 8.085 Å and the angles 90.00°, 90.00° and 90.00°. The distinct sites, in fractional coordinates, are Th at (0.000, 0.000, 0.195), Bi at (0.500, 0.500, 0.500) and N at (0.500, 0.500, 0.000).



x | Th2BiN | PBE | relaxed

The structure belongs to space group C2/m (No. 12); the cell edges are 6.689, 6.689 and 9.231 Å and the angles 90.00°, 90.07° and 90.00°. The distinct sites, in fractional coordinates, are Th at (0.000, 0.250, 0.000), Th at (0.249, 0.000, 0.662), Bi at (0.249, 0.500, 0.703) and N at (0.250, 0.000, 0.913).



Verdict on stability: w comes out at the bottom.



w | Th3BiN3 | PBE | relaxed

The structure belongs to space group P6_3/m (No. 176); the cell edges are 9.1364, 9.1364 and 4.4837 Å and the angles 90.00°, 90.00° and 120.00°. The distinct sites, in fractional coordinates, are Th at (0.0645, 0.7326, 0.2500), Bi at (0.3333, 0.6667, 0.7500) and N at (0.0142, 0.7678, 0.7500).



x | Th3BiN3 | PBE | relaxed

The structure belongs to space group R-3 (No. 148, hexagonal axes); the cell edges are 7.0201, 7.0201 and 23.5884 Å and the angles 90.00°, 90.00° and 120.00°. The distinct sites, in fractional coordinates, are Th at (0.0022, 0.6554, 0.3951), Bi at (0.0000, 0.0000, 0.1665) and N at (0.0058, 0.6799, 0.6279).



Verdict on stability: w comes out at the bottom.